First-principles (PBE) data for a relaxed SrGaHg crystal, as listed in Alexandria via LeMat-Bulk.

Cell lengths 4.8473, 4.8473, 4.0109 Å; angles 90.00, 90.00, 120.00 degrees
Positions (direct):
1 Sr 0.0000 0.0000 0.0000
2 Ga 0.3333 0.6667 0.5000
3 Hg 0.6667 0.3333 0.5000

Results
Total magnetization: 0.00 μB/f.u.
Energy above the lowest structure with this stoichiometry: 21 meV/atom
Total energy: -6.40 eV for the cell shown